This record from Alexandria describes a relaxed HfZrInAg crystal. The functional is PBE.

ΔE to the lowest computed polymorph (eV/f.u.): 0.14
Magnetization (μB/cell): 0.000
ΔH_f (0 K) (eV/atom): -0.075
E (eV per cell): -24.4

a = 4.9221 Å, b = 4.9221 Å, c = 4.9221 Å
α = 60.00°, β = 60.00°, γ = 60.00°
Closest atoms and distances in Å follow each position.
Fractional coordinates of all 4 atoms:
In (0.7500, 0.7500, 0.7500)  4 Hf 3.01, 4 Zr 3.01
Hf (0.5000, 0.5000, 0.5000)  4 In 3.01, 4 Ag 3.01
Zr (0.0000, 0.0000, 0.0000)  4 In 3.01, 4 Ag 3.01
Ag (0.2500, 0.2500, 0.2500)  4 Hf 3.01, 4 Zr 3.01



This record from Alexandria describes a relaxed TbMnPd2 crystal. The functional is PBE.

ΔE to the lowest computed polymorph (eV/f.u.): 0.00
Magnetization (μB/cell): 3.986
ΔH_f (0 K) (eV/atom): -0.520
E (eV per cell): -26.3

a = 4.4727 Å, b = 4.4727 Å, c = 5.1362 Å
α = 64.19°, β = 64.19°, γ = 60.00°
Closest atoms and distances in Å follow each position.
Fractional coordinates of all 4 atoms:
Tb (0.0000, 0.0000, 0.0000)  8 Pd 2.91-3.00
Mn (0.5000, 0.5000, 0.5000)  6 Pd 2.67
Pd (0.7812, 0.7812, 0.6564)  3 Mn 2.67, 1 Tb 2.91, 3 Pd 2.93
Pd (0.2188, 0.2188, 0.3436)  3 Mn 2.67, 1 Tb 2.91, 3 Pd 2.93



This record from Alexandria describes a relaxed Ce2TcAu crystal. The functional is PBE.

Magnetization (μB/cell): 0.000
ΔH_f (0 K) (eV/atom): -0.222
E (eV per cell): -26.4

a = 4.0247 Å, b = 4.0247 Å, c = 7.4609 Å
α = 74.35°, β = 74.35°, γ = 60.00°
Closest atoms and distances in Å follow each position.
Fractional coordinates of all 4 atoms:
Ce (0.2618, 0.2618, 0.2146)  3 Tc 2.78, 3 Au 3.08
Ce (0.7382, 0.7382, 0.7854)  3 Tc 2.78, 3 Au 3.08
Tc (0.0000, 0.0000, 0.0000)  6 Ce 2.78
Au (0.5000, 0.5000, 0.5000)  6 Ce 3.08



This record from Alexandria describes a relaxed TiZn5 crystal. The functional is PBE.

Magnetization (μB/cell): 0.812
ΔH_f (0 K) (eV/atom): -0.073
E (eV per cell): -14.7

a = 4.2181 Å, b = 5.2508 Å, c = 5.2508 Å
α = 64.41°, β = 66.32°, γ = 66.32°
Closest atoms and distances in Å follow each position.
Fractional coordinates of all 6 atoms:
Zn (0.8354, 0.4132, 0.9159)  4 Zn 2.50-2.78
Zn (0.8354, 0.9159, 0.4132)  4 Zn 2.50-2.78
Zn (0.1646, 0.5868, 0.0841)  4 Zn 2.50-2.78
Zn (0.5000, 0.5000, 0.5000)  2 Ti 2.80, 12 Zn 2.84-2.97
Zn (0.1646, 0.0841, 0.5868)  4 Zn 2.50-2.78
Ti (0.5000, 0.0000, 0.0000)  14 Zn 2.80-2.98



This record from Alexandria describes a relaxed ThCrAs2 crystal. The functional is PBE.

Magnetization (μB/cell): 2.340
ΔH_f (0 K) (eV/atom): -0.702
E (eV per cell): -29.2

a = 4.0501 Å, b = 4.0501 Å, c = 6.3708 Å
α = 71.47°, β = 71.47°, γ = 60.00°
Closest atoms and distances in Å follow each position.
Fractional coordinates of all 4 atoms:
Cr (0.0000, 0.0000, 0.0000)  6 As 2.61
As (0.7317, 0.7317, 0.8048)  3 Cr 2.61
As (0.2683, 0.2683, 0.1952)  3 Cr 2.61
Th (0.5000, 0.5000, 0.5000)  6 As 2.95



This record from Alexandria describes a relaxed Hf2RuBr crystal. The functional is PBE.

Raw formation energy (meV/atom): 35
ΔE to the lowest computed polymorph (eV/f.u.): 0.00
Magnetization (μB/cell): 0.000
E (eV per cell): -30.7

a = 4.7456 Å, b = 4.7456 Å, c = 4.7456 Å
α = 60.00°, β = 60.00°, γ = 60.00°
Closest atoms and distances in Å follow each position.
Fractional coordinates of all 4 atoms:
Hf (0.7500, 0.7500, 0.7500)  4 Br 2.91, 4 Ru 2.91
Ru (0.5000, 0.5000, 0.5000)  8 Hf 2.91
Br (0.0000, 0.0000, 0.0000)  8 Hf 2.91
Hf (0.2500, 0.2500, 0.2500)  4 Br 2.91, 4 Ru 2.91



This record from Alexandria describes a relaxed NbAs2Pb crystal. The functional is PBE.

Magnetization (μB/cell): 1.811
ΔH_f (0 K) (eV/atom): 0.109
E (eV per cell): -45.3

a = 6.2605 Å, b = 6.2605 Å, c = 7.6780 Å
α = 65.94°, β = 65.94°, γ = 90.00°
Closest atoms and distances in Å follow each position.
Fractional coordinates of all 8 atoms:
Pb (0.7500, 0.2500, 0.5000)  4 As 2.95
As (0.3750, 0.4361, 0.7500)  2 Nb 2.51
Nb (0.5000, 0.5000, 0.0000)  4 As 2.51
Pb (0.0000, 0.0000, 0.0000)  4 As 2.95
As (0.1861, 0.6250, 0.2500)  2 Nb 2.51
As (0.8750, 0.8139, 0.7500)  2 Nb 2.51
Nb (0.2500, 0.7500, 0.5000)  4 As 2.51
As (0.5639, 0.1250, 0.2500)  2 Nb 2.51



This record from Alexandria describes a relaxed GdAlCd2 crystal. The functional is PBE.

Magnetization (μB/cell): 7.407
ΔH_f (0 K) (eV/atom): -0.252
E (eV per cell): -20.7

a = 4.6968 Å, b = 4.4371 Å, c = 4.4371 Å
α = 90.00°, β = 90.00°, γ = 90.00°
Closest atoms and distances in Å follow each position.
Fractional coordinates of all 4 atoms:
Al (0.5000, 0.0000, 0.0000)  4 Gd 3.14, 8 Cd 3.23
Cd (0.0000, 0.5000, 0.0000)  4 Cd 3.14, 4 Gd 3.23, 4 Al 3.23
Cd (0.0000, 0.0000, 0.5000)  4 Cd 3.14, 4 Gd 3.23, 4 Al 3.23
Gd (0.5000, 0.5000, 0.5000)  4 Al 3.14, 8 Cd 3.23



This record from Alexandria describes a relaxed Tc2Os4Ru crystal. The functional is PBE.

Magnetization (μB/cell): 0.000
ΔH_f (0 K) (eV/atom): 0.213
E (eV per cell): -146.9

a = 7.0025 Å, b = 7.3339 Å, c = 4.8117 Å
α = 93.45°, β = 95.91°, γ = 121.78°
Closest atoms and distances in Å follow each position.
Fractional coordinates of all 14 atoms:
Os (0.2919, 0.9147, 0.9076)  2 Tc 2.51-2.65, 3 Ru 2.62-2.74, 3 Os 2.73-2.74
Ru (0.0436, 0.0931, 0.8929)  7 Os 2.55-2.84, 2 Tc 2.69-2.72
Tc (0.7412, 0.9170, 0.3288)  7 Os 2.59-2.71, 1 Ru 2.74
Tc (0.4566, 0.3391, 0.7265)  6 Os 2.52-2.76, 1 Ru 2.72, 1 Tc 2.73
Tc (0.5895, 0.2243, 0.2685)  6 Os 2.51-2.69, 1 Tc 2.73
Os (0.8718, 0.6808, 0.5827)  6 Os 2.54-2.82, 1 Tc 2.65, 1 Ru 2.84
Os (0.8738, 0.5672, 0.0716)  3 Os 2.54-2.69, 3 Tc 2.57-2.76, 1 Ru 2.81
Os (0.4480, 0.4895, 0.2273)  5 Tc 2.61-2.71, 4 Os 2.71-2.92, 1 Ru 2.79
Os (0.0145, 0.3291, 0.3183)  4 Tc 2.60-2.70, 2 Ru 2.67-2.69, 2 Os 2.69-2.71
Ru (0.3021, 0.7586, 0.4081)  7 Os 2.60-2.81, 2 Tc 2.74-2.81
Tc (0.1607, 0.5016, 0.8458)  7 Os 2.60-2.78, 2 Ru 2.69-2.81
Os (0.7093, 0.1597, 0.7458)  5 Tc 2.52-2.82, 2 Os 2.67-2.74, 1 Ru 2.67
Os (0.5870, 0.7546, 0.8028)  4 Tc 2.59-2.70, 2 Ru 2.62-2.79, 3 Os 2.63-2.79
Os (0.1599, 0.0208, 0.3735)  3 Tc 2.52-2.69, 3 Ru 2.55-2.81, 2 Os 2.59-2.73



This record from Alexandria describes a relaxed Cs2Tl2Sn3 crystal. The functional is PBE.

Magnetization (μB/cell): 0.000
ΔH_f (0 K) (eV/atom): -0.105
E (eV per cell): -19.2

a = 5.3275 Å, b = 7.3608 Å, c = 8.2359 Å
α = 116.90°, β = 90.00°, γ = 111.22°
Closest atoms and distances in Å follow each position.
Fractional coordinates of all 7 atoms:
Sn (0.5822, 0.1644, 0.4192)  2 Sn 3.07-3.13, 3 Tl 3.23-3.25
Tl (0.1535, 0.3069, 0.2806)  5 Sn 3.23-3.49
Tl (0.8465, 0.6931, 0.7194)  5 Sn 3.23-3.49
Cs (0.1594, 0.3187, 0.8017)  7 Sn 3.86-4.24, 5 Tl 3.98-4.25, 2 Cs 4.01
Sn (0.5000, 0.0000, 0.0000)  2 Sn 3.07
Cs (0.8406, 0.6813, 0.1983)  7 Sn 3.86-4.24, 5 Tl 3.98-4.25, 2 Cs 4.01
Sn (0.4178, 0.8356, 0.5808)  2 Sn 3.07-3.13, 3 Tl 3.23-3.25



This record from Alexandria describes a relaxed NdTiIr2 crystal. The functional is PBE.

Magnetization (μB/cell): 0.000
ΔH_f (0 K) (eV/atom): -0.668
E (eV per cell): -33.1

a = 3.1180 Å, b = 3.1180 Å, c = 7.4816 Å
α = 90.00°, β = 90.00°, γ = 90.00°
Closest atoms and distances in Å follow each position.
Fractional coordinates of all 4 atoms:
Ti (0.5000, 0.5000, 0.0000)  8 Ir 2.66
Ir (0.0000, 0.0000, 0.1999)  4 Ti 2.66
Nd (0.5000, 0.5000, 0.5000)  4 Nd 3.12, 8 Ir 3.15
Ir (0.0000, 0.0000, 0.8001)  4 Ti 2.66



This record from Alexandria describes a relaxed Be2AgBr crystal. The functional is PBE.

Raw formation energy (meV/atom): 321
ΔE to the lowest computed polymorph (eV/f.u.): 0.57
Magnetization (μB/cell): 0.000
E (eV per cell): -10.7

a = 3.0979 Å, b = 3.4104 Å, c = 6.1802 Å
α = 89.99°, β = 90.00°, γ = 90.00°
Closest atoms and distances in Å follow each position.
Fractional coordinates of all 4 atoms:
Ag (0.5000, 0.7500, 0.7500)  8 Be 2.55
Br (0.5000, 0.2500, 0.2500)  4 Be 2.52
Be (0.0000, 0.2500, 0.5718)  1 Be 2.20
Be (0.0000, 0.2500, 0.9282)  1 Be 2.20



This record from Alexandria describes a relaxed Ba2ReRu crystal. The functional is PBE.

ΔE to the lowest computed polymorph (eV/f.u.): 4.52
Magnetization (μB/cell): 3.159
ΔH_f (0 K) (eV/atom): 1.423
E (eV per cell): -19.9

a = 5.8113 Å, b = 5.8113 Å, c = 5.8113 Å
α = 132.28°, β = 131.61°, γ = 70.32°
Closest atoms and distances in Å follow each position.
Fractional coordinates of all 4 atoms:
Re (0.7500, 0.2500, 0.5000)  4 Ru 3.35, 8 Ba 3.35-3.36
Ba (0.0022, 0.0022, 0.0000)  4 Ru 3.33-3.38, 4 Ba 3.35, 4 Re 3.35-3.36
Ba (0.4978, 0.4978, 0.0000)  4 Ru 3.33-3.38, 4 Ba 3.35, 4 Re 3.35-3.36
Ru (0.2500, 0.7500, 0.5000)  8 Ba 3.33-3.38, 4 Re 3.35



This record from Alexandria describes a relaxed Ni2Te3Br crystal. The functional is PBE.

Raw formation energy (meV/atom): -160
Magnetization (μB/cell): 1.977
E (eV per cell): -47.2

a = 7.7772 Å, b = 7.7770 Å, c = 5.4735 Å
α = 90.00°, β = 90.00°, γ = 120.00°
Closest atoms and distances in Å follow each position.
Fractional coordinates of all 12 atoms:
Te (0.1682, 0.8318, 0.7760)  3 Ni 2.55-2.58
Te (0.1682, 0.3363, 0.7760)  3 Ni 2.55-2.58
Ni (0.5000, 0.0000, 0.0000)  4 Te 2.55, 2 Br 2.78
Te (0.8318, 0.1682, 0.2240)  3 Ni 2.55-2.58
Br (0.3333, 0.6667, 0.2980)  3 Ni 2.78
Te (0.6637, 0.8318, 0.7760)  3 Ni 2.55-2.58
Te (0.3363, 0.1682, 0.2240)  3 Ni 2.55-2.58
Ni (0.5000, 0.5000, 0.0000)  4 Te 2.55, 2 Br 2.78
Ni (0.0000, 0.5000, 0.0000)  4 Te 2.55, 2 Br 2.78
Te (0.8318, 0.6637, 0.2240)  3 Ni 2.55-2.58
Br (0.6667, 0.3333, 0.7020)  3 Ni 2.78
Ni (0.0000, 0.0000, 0.0000)  6 Te 2.58



This record from Alexandria describes a relaxed AgSbSe2Br crystal. The functional is PBE.

Raw formation energy (meV/atom): 277
ΔE to the lowest computed polymorph (eV/f.u.): 2.38
Magnetization (μB/cell): 0.000
E (eV per cell): -14.2

a = 5.3181 Å, b = 5.3181 Å, c = 5.5743 Å
α = 90.00°, β = 90.00°, γ = 90.00°
Closest atoms and distances in Å follow each position.
Fractional coordinates of all 5 atoms:
Se (0.0000, 0.5000, 0.0000)  2 Sb 2.66
Se (0.5000, 0.0000, 0.0000)  2 Sb 2.66
Br (0.0000, 0.0000, 0.5000)  2 Sb 2.79
Ag (0.5000, 0.5000, 0.5000)  4 Br 3.76, 8 Se 3.85
Sb (0.0000, 0.0000, 0.0000)  4 Se 2.66, 2 Br 2.79



This record from Alexandria describes a relaxed RbSrCrAu2 crystal. The functional is PBE.

Magnetization (μB/cell): 5.204
ΔH_f (0 K) (eV/atom): 1.170
E (eV per cell): -13.0

a = 5.7796 Å, b = 6.2913 Å, c = 5.7796 Å
α = 90.00°, β = 90.00°, γ = 90.00°
Closest atoms and distances in Å follow each position.
Fractional coordinates of all 5 atoms:
Au (0.5000, 0.0000, 0.0000)  2 Rb 2.89
Au (0.0000, 0.0000, 0.5000)  2 Rb 2.89
Sr (0.0000, 0.5000, 0.0000)  2 Rb 3.15
Cr (0.5000, 0.5000, 0.5000)  4 Sr 4.09, 8 Au 4.27
Rb (0.0000, 0.0000, 0.0000)  4 Au 2.89, 2 Sr 3.15



This record from Alexandria describes a relaxed Nd4TlBi5 crystal. The functional is PBE.

Magnetization (μB/cell): 0.000
ΔH_f (0 K) (eV/atom): -0.664
E (eV per cell): -47.5

a = 4.5164 Å, b = 8.8549 Å, c = 8.8549 Å
α = 81.64°, β = 75.23°, γ = 75.23°
Closest atoms and distances in Å follow each position.
Fractional coordinates of all 10 atoms:
Bi (0.9144, 0.6587, 0.0125)  4 Nd 3.25-3.34, 2 Bi 3.55
Bi (0.5856, 0.3413, 0.9875)  4 Nd 3.25-3.34, 2 Bi 3.55
Bi (0.5856, 0.9875, 0.3413)  4 Nd 3.25-3.34, 2 Bi 3.55
Tl (0.2500, 0.0000, 0.0000)  4 Nd 3.21-3.38
Nd (0.2500, 0.2915, 0.7085)  6 Bi 3.31-3.34, 1 Tl 3.38
Nd (0.5042, 0.7458, 0.7458)  5 Bi 3.10-3.25, 1 Tl 3.21
Nd (0.9958, 0.2542, 0.2542)  5 Bi 3.10-3.25, 1 Tl 3.21
Bi (0.9144, 0.0125, 0.6587)  4 Nd 3.25-3.34, 2 Bi 3.55
Nd (0.2500, 0.7085, 0.2915)  6 Bi 3.31-3.34, 1 Tl 3.38
Bi (0.7500, 0.5000, 0.5000)  6 Nd 3.10-3.31



This record from Alexandria describes a relaxed SmTm2ScSe6 crystal. The functional is PBE.

Raw formation energy (meV/atom): -1785
Magnetization (μB/cell): 0.000
E (eV per cell): -58.7

a = 7.0952 Å, b = 7.0954 Å, c = 7.5990 Å
α = 62.17°, β = 62.17°, γ = 60.00°
Closest atoms and distances in Å follow each position.
Fractional coordinates of all 10 atoms:
Se (0.7178, 0.1237, 0.7559)  1 Sc 2.76, 2 Tm 2.79-2.86, 1 Sm 2.87
Se (0.5962, 0.2279, 0.2465)  1 Sc 2.73, 2 Tm 2.82-2.87, 1 Sm 2.98
Se (0.2279, 0.9294, 0.2465)  1 Sc 2.73, 2 Tm 2.82-2.87, 1 Sm 2.98
Tm (0.5155, 0.5154, 0.4537)  6 Se 2.82-2.86
Se (0.1237, 0.4027, 0.7558)  1 Sc 2.76, 2 Tm 2.79-2.86, 1 Sm 2.87
Sm (0.8156, 0.8157, 0.5530)  6 Se 2.87-2.98
Sc (0.3218, 0.3218, 0.0344)  6 Se 2.73-2.76
Tm (0.0110, 0.0110, 0.9671)  6 Se 2.79-2.87
Se (0.9294, 0.5962, 0.2465)  1 Sc 2.73, 2 Tm 2.82-2.87, 1 Sm 2.98
Se (0.4027, 0.7178, 0.7558)  1 Sc 2.76, 2 Tm 2.79-2.86, 1 Sm 2.87



This record from Alexandria describes a relaxed KRb4Pd crystal. The functional is PBE.

Magnetization (μB/cell): 0.000
ΔH_f (0 K) (eV/atom): 0.057
E (eV per cell): -19.6

a = 7.8916 Å, b = 9.4988 Å, c = 12.0454 Å
α = 113.22°, β = 105.07°, γ = 90.00°
Closest atoms and distances in Å follow each position.
Fractional coordinates of all 12 atoms:
Pd (0.3421, 0.5120, 0.0240)  1 Pd 2.69
Rb (0.3884, 0.1566, 0.7913)  2 Pd 3.38-3.53
Rb (0.6116, 0.8434, 0.2087)  2 Pd 3.38-3.53
Rb (0.2112, 0.6748, 0.3496)  1 Pd 4.02, 2 Rb 4.38
Rb (0.0000, 0.2618, 0.0000)  2 Pd 3.47
Rb (0.3884, 0.6347, 0.7913)  2 Pd 3.38-3.53
K (0.1780, 0.1964, 0.3927)  12 Rb 4.75-5.09
Pd (0.6579, 0.4880, 0.9760)  1 Pd 2.69
K (0.8220, 0.8036, 0.6073)  12 Rb 4.75-5.09
Rb (0.6116, 0.3653, 0.2087)  2 Pd 3.38-3.53
Rb (0.7888, 0.3252, 0.6504)  1 Pd 4.02, 2 Rb 4.38
Rb (0.0000, 0.7382, 0.0000)  2 Pd 3.47



This record from Alexandria describes a relaxed Cr2HPdRu crystal. The functional is PBE.

ΔE to the lowest computed polymorph (eV/f.u.): 0.00
Magnetization (μB/cell): 1.106
E (eV per cell): -36.6

a = 3.8060 Å, b = 3.8060 Å, c = 3.7803 Å
α = 90.00°, β = 90.00°, γ = 90.00°
Closest atoms and distances in Å follow each position.
Fractional coordinates of all 5 atoms:
Cr (0.0000, 0.5000, 0.0000)  2 H 1.90
Pd (0.5000, 0.5000, 0.5000)  8 Cr 2.68, 4 Ru 2.69
H (0.0000, 0.0000, 0.0000)  2 Ru 1.89, 4 Cr 1.90
Cr (0.5000, 0.0000, 0.0000)  2 H 1.90
Ru (0.0000, 0.0000, 0.5000)  2 H 1.89